(1)
The following is a DFT calculation (PBE) of a geometry-optimized MgNiSb2 structure.

Computed properties:
Final energy: -3.8929 eV per atom
Formation energy without anion corrections: 12 meV per atom
V: 83.7 Å³/f.u.
Symmetry: P4/mmm (123)

a = 3.272 Å, b = 3.272 Å, c = 7.823 Å
α = 90.00°, β = 90.00°, γ = 90.00°
Fractional positions:
Mg (0.500, 0.500, 0.250)
Ni (0.500, 0.500, 0.750)
Sb (0.000, 0.000, 0.958)
Sb (0.000, 0.000, 0.542)

(2)
The following is a DFT calculation (PBE) of a geometry-optimized HfScTlIn structure.

Computed properties:
ΔH_f (0 K): -63 meV per atom
Final energy: -5.4108 eV per atom
V: 90.7 Å³/f.u.
Symmetry: F-43m (216)

a = 5.044 Å, b = 5.044 Å, c = 5.044 Å
α = 60.00°, β = 60.00°, γ = 60.00°
Fractional positions:
Sc (0.000, 0.000, 0.000)
Tl (0.750, 0.750, 0.750)
Hf (0.500, 0.500, 0.500)
In (0.250, 0.250, 0.250)

(3)
The following is a DFT calculation (PBE) of a geometry-optimized PrErGa structure.

Computed properties:
ΔH_f (0 K): -344 meV per atom
Final energy: -4.4670 eV per atom
V: 83.0 Å³/f.u.
Relative energy among the computed polymorphs: 59.8 meV/atom
Symmetry: I4mm (107)

a = 3.543 Å, b = 3.543 Å, c = 7.068 Å
α = 104.52°, β = 104.52°, γ = 90.00°
Fractional positions:
Pr (0.969, 0.969, 0.937)
Ga (0.624, 0.624, 0.248)
Er (0.257, 0.257, 0.514)

(4)
The following is a DFT calculation (PBE) of a geometry-optimized NaSmCuHg structure.

Computed properties:
ΔH_f (0 K): -107 meV per atom
Final energy: -2.7159 eV per atom
V: 93.1 Å³/f.u.
Symmetry: F-43m (216)

a = 5.087 Å, b = 5.087 Å, c = 5.087 Å
α = 60.00°, β = 60.00°, γ = 60.00°
Fractional positions:
Na (0.500, 0.500, 0.500)
Cu (0.250, 0.250, 0.250)
Hg (0.750, 0.750, 0.750)
Sm (0.000, 0.000, 0.000)